Record 1
{
  "formula": "FeAs5",
  "functional": "meta-GGA SCAN",
  "state": "PBEsol geometry",
  "e_form_ev_per_atom": 0.092,
  "space_group": "Cmmm",
  "lattice": [[1.834, -6.958, 0.000], [1.834, 6.958, 0.000], [0.000, 0.000, 4.538]],
  "species": ["Fe", "As", "As", "As", "As", "As"],
  "fractional_positions": [[0.000, 0.000, 0.000], [0.000, 0.000, 0.500], [0.310, 0.690, 0.500], [0.394, 0.606, 0.000], [0.606, 0.394, 0.000], [0.690, 0.310, 0.500]]
}

Record 2
{
  "formula": "FeAs2",
  "functional": "meta-GGA SCAN",
  "state": "PBEsol geometry",
  "e_form_ev_per_atom": 0.471,
  "space_group": "P6_3/mmc",
  "lattice": [[3.859, 0.000, 0.000], [-1.930, 3.342, 0.000], [0.000, 0.000, 7.490]],
  "species": ["Fe", "Fe", "As", "As", "As", "As"],
  "fractional_positions": [[0.333, 0.667, 0.250], [0.667, 0.333, 0.750], [0.000, 0.000, 0.000], [0.000, 0.000, 0.500], [0.333, 0.667, 0.750], [0.667, 0.333, 0.250]]
}

Record 3
{
  "formula": "Ga2FeAsIr",
  "functional": "meta-GGA SCAN",
  "state": "PBEsol geometry",
  "e_form_ev_per_atom": 0.663,
  "space_group": "P4/mmm",
  "lattice": [[4.424, 0.000, 0.000], [0.000, 4.424, 0.000], [0.000, 0.000, 4.446]],
  "species": ["Ga", "Ga", "Fe", "As", "Ir"],
  "fractional_positions": [[0.000, 0.500, 0.000], [0.500, 0.000, 0.000], [0.000, 0.000, 0.000], [0.500, 0.500, 0.500], [0.000, 0.000, 0.500]]
}

Record 4
{
  "formula": "GaFeTeAs2",
  "functional": "meta-GGA SCAN",
  "state": "PBEsol geometry",
  "space_group": "P4/mmm",
  "formation_energy_uncorrected_ev_per_atom": 1.08,
  "lattice": [[5.369, 0.000, 0.000], [0.000, 5.369, 0.000], [0.000, 0.000, 4.650]],
  "species": ["Ga", "Fe", "Te", "As", "As"],
  "fractional_positions": [[0.000, 0.000, 0.000], [0.500, 0.500, 0.000], [0.500, 0.500, 0.500], [0.000, 0.500, 0.500], [0.500, 0.000, 0.500]]
}

Record 5
{
  "formula": "FeGeAsSe2",
  "functional": "meta-GGA SCAN",
  "state": "PBEsol geometry",
  "space_group": "P4/mmm",
  "formation_energy_uncorrected_ev_per_atom": 0.47,
  "lattice": [[4.802, 0.000, 0.000], [0.000, 4.802, 0.000], [0.000, 0.000, 4.330]],
  "species": ["Fe", "Ge", "As", "Se", "Se"],
  "fractional_positions": [[0.000, 0.000, 0.000], [0.500, 0.500, 0.500], [0.000, 0.000, 0.500], [0.000, 0.500, 0.000], [0.500, 0.000, 0.000]]
}

Record 6
{
  "formula": "FeAs3H",
  "functional": "meta-GGA SCAN",
  "state": "PBEsol geometry",
  "space_group": "Pm-3m",
  "final_energy_ev_per_atom": -15.542,
  "lattice": [[4.447, 0.000, 0.000], [0.000, 4.447, 0.000], [0.000, 0.000, 4.447]],
  "species": ["Fe", "As", "As", "As", "H"],
  "fractional_positions": [[0.000, 0.000, 0.000], [0.000, 0.000, 0.500], [0.000, 0.500, 0.000], [0.500, 0.000, 0.000], [0.500, 0.500, 0.500]]
}

Record 7
{
  "formula": "HfFeAs",
  "functional": "meta-GGA SCAN",
  "state": "PBEsol geometry",
  "e_form_ev_per_atom": -0.686,
  "space_group": "Pnma",
  "lattice": [[6.329, 0.000, 0.000], [0.000, 3.848, 0.000], [0.000, 0.000, 7.097]],
  "species": ["Hf", "Hf", "Hf", "Hf", "Fe", "Fe", "Fe", "Fe", "As", "As", "As", "As"],
  "fractional_positions": [[0.015, 0.250, 0.189], [0.485, 0.750, 0.689], [0.515, 0.250, 0.311], [0.985, 0.750, 0.811], [0.148, 0.250, 0.563], [0.352, 0.750, 0.063], [0.648, 0.250, 0.937], [0.852, 0.750, 0.437], [0.223, 0.750, 0.385], [0.277, 0.250, 0.885], [0.723, 0.750, 0.115], [0.777, 0.250, 0.615]]
}

Record 8
{
  "formula": "HfFeHg2As",
  "functional": "meta-GGA SCAN",
  "state": "PBEsol geometry",
  "e_form_ev_per_atom": 1.186,
  "space_group": "P4/mmm",
  "lattice": [[5.339, 0.000, 0.000], [0.000, 5.339, 0.000], [0.000, 0.000, 4.476]],
  "species": ["Hf", "Fe", "Hg", "Hg", "As"],
  "fractional_positions": [[0.000, 0.000, 0.000], [0.000, 0.000, 0.500], [0.000, 0.500, 0.000], [0.500, 0.000, 0.000], [0.500, 0.500, 0.500]]
}

Record 9
{
  "formula": "FeHg4As",
  "functional": "meta-GGA SCAN",
  "state": "PBEsol geometry",
  "e_form_ev_per_atom": 0.725,
  "space_group": "F-43m",
  "lattice": [[0.000, 3.997, 3.997], [3.997, 0.000, 3.997], [3.997, 3.997, 0.000]],
  "species": ["Fe", "Hg", "Hg", "Hg", "Hg", "As"],
  "fractional_positions": [[0.000, 0.000, 0.000], [0.375, 0.375, 0.375], [0.375, 0.375, 0.876], [0.375, 0.876, 0.375], [0.876, 0.375, 0.375], [0.750, 0.750, 0.750]]
}

Record 10
{
  "formula": "NbFeHg2As",
  "functional": "meta-GGA SCAN",
  "state": "PBEsol geometry",
  "e_form_ev_per_atom": 1.070,
  "space_group": "P4/mmm",
  "lattice": [[4.967, 0.000, 0.000], [0.000, 4.967, 0.000], [0.000, 0.000, 4.846]],
  "species": ["Nb", "Fe", "Hg", "Hg", "As"],
  "fractional_positions": [[0.000, 0.000, 0.000], [0.500, 0.500, 0.000], [0.000, 0.500, 0.500], [0.500, 0.000, 0.500], [0.000, 0.000, 0.500]]
}

Record 11
{
  "formula": "FeTc2AsI",
  "functional": "meta-GGA SCAN",
  "state": "PBEsol geometry",
  "space_group": "P4/mmm",
  "formation_energy_uncorrected_ev_per_atom": 1.34,
  "lattice": [[4.582, 0.000, 0.000], [0.000, 4.582, 0.000], [0.000, 0.000, 4.229]],
  "species": ["Fe", "Tc", "Tc", "As", "I"],
  "fractional_positions": [[0.000, 0.000, 0.000], [0.000, 0.500, 0.000], [0.500, 0.000, 0.000], [0.000, 0.000, 0.500], [0.500, 0.500, 0.500]]
}

Record 12
{
  "formula": "FeTeAsI2",
  "functional": "meta-GGA SCAN",
  "state": "PBEsol geometry",
  "space_group": "P4/mmm",
  "formation_energy_uncorrected_ev_per_atom": 0.65,
  "lattice": [[5.024, 0.000, 0.000], [0.000, 5.024, 0.000], [0.000, 0.000, 5.153]],
  "species": ["Fe", "Te", "As", "I", "I"],
  "fractional_positions": [[0.000, 0.000, 0.000], [0.000, 0.000, 0.500], [0.500, 0.500, 0.500], [0.000, 0.500, 0.000], [0.500, 0.000, 0.000]]
}

Table of ρ (g/cm³), in record order: 6.17, 7.07, 8.83, 4.99, 6.01, 5.32, 11.88, 9.25, 12.14, 8.68, 8.49, 6.54
Table of Fermi-level density of states (states/eV per cell), in record order: 1.55, 5.84, 2.71, 3.49, 4.06, 3.83, 8.72, 3.21, 4.64, 2.83, 5.77, 3.47